[1]
Density functional theory data (PBE) for a relaxed structure of MnPd2Au9.

a b c (Å): 4.155 4.155 12.020
angles (deg): 90.00 90.00 90.00
Space group P4/mmm (No. 123)
Symmetry-distinct sites (fractional):
Mn 0.000 0.000 0.000 [1 per cell]
Pd 0.000 0.000 0.333 [2 per cell]
Au 0.000 0.500 0.165 [4 per cell]
Au 0.000 0.500 0.500 [2 per cell]
Au 0.500 0.500 0.000 [1 per cell]
Au 0.500 0.500 0.333 [2 per cell]

**E_form**: -65 meV/atom
**Total moment**: 4.45 μB/cell
**DOS at the Fermi energy**: 0.317 states/eV/atom

[2]
Density functional theory data (PBE) for a relaxed structure of MnPd6Au.

a b c (Å): 5.064 5.084 5.088
angles (deg): 94.06 94.26 94.09
Space group P-1 (No. 2)
Symmetry-distinct sites (fractional):
Mn 0.000 0.000 0.000 [1 per cell]
Pd 0.032 0.750 0.451 [2 per cell]
Pd 0.250 0.550 0.966 [2 per cell]
Pd 0.454 0.032 0.750 [2 per cell]
Au 0.500 0.500 0.500 [1 per cell]

**E_form**: -8 meV/atom
**Relative energy among the computed polymorphs**: 130.4 meV per atom
**Total moment**: 4.85 μB/cell
**DOS at the Fermi energy**: 1.354 states/eV/atom

[3]
Density functional theory data (PBE) for a relaxed structure of Mn2Pd7Au3.

a b c (Å): 5.697 7.833 9.003
angles (deg): 90.00 108.32 90.00
Space group C2/m (No. 12)
Symmetry-distinct sites (fractional):
Mn 0.167 0.000 0.334 [4 per cell]
Pd 0.000 0.250 0.500 [4 per cell]
Pd 0.000 0.500 0.000 [2 per cell]
Pd 0.165 0.250 0.830 [8 per cell]
Au 0.000 0.000 0.000 [2 per cell]
Au 0.167 0.500 0.334 [4 per cell]

**E_form**: -178 meV/atom
**Total moment**: 18.99 μB/cell
**DOS at the Fermi energy**: 0.638 states/eV/atom

[4]
Density functional theory data (PBE) for a relaxed structure of Mn4PdAu7.

a b c (Å): 13.129 5.003 7.889
angles (deg): 90.00 122.68 90.00
Space group C2/m (No. 12)
Symmetry-distinct sites (fractional):
Mn 0.057 0.000 0.228 [4 per cell]
Mn 0.195 0.000 0.853 [4 per cell]
Pd 0.000 0.500 0.500 [2 per cell]
Au 0.000 0.000 0.500 [2 per cell]
Au 0.065 0.500 0.904 [4 per cell]
Au 0.198 0.500 0.372 [4 per cell]
Au 0.246 0.500 0.775 [4 per cell]

**E_form**: 155 meV/atom
**Total moment**: 34.67 μB/cell
**DOS at the Fermi energy**: 0.460 states/eV/atom